Entry from the Alexandria database: SrTeCN2 after structural relaxation (PBE). Values from VASP.

Its magnetic moment is 5.256 μB per formula unit. As for the density of states at the Fermi level: 4.65 states/eV per cell. The value obtained for the density is 2.67 Mg/m³. Its uncorrected formation energy is 2664 meV/atom. The polymorph energy (0 for the lowest one) comes out at 852 meV per atom.

Cell and atoms, written as Quantum ESPRESSO input:
```
&SYSTEM
  ibrav = 0, nat = 5, ntyp = 4
/
ATOMIC_SPECIES
N 14.01 N.upf
C 12.01 C.upf
Te 127.60 Te.upf
Sr 87.62 Sr.upf
CELL_PARAMETERS angstrom
-1.182 -0.534 -4.623
3.888 -2.735 -0.678
-3.674 -5.615 1.588
ATOMIC_POSITIONS crystal
N 0.000 0.500 0.000
N 0.500 0.000 0.000
C 0.500 0.500 0.500
Te 0.000 0.000 0.500
Sr 0.000 0.000 0.000
```

---

Entry from the Alexandria database: Sr3YC2N6 after structural relaxation (PBE). Values from VASP.

Its magnetic moment is 0.000 μB per formula unit. As for the density of states at the Fermi level: 3.98 states/eV per cell. The value obtained for the density is 4.21 Mg/m³. Its uncorrected formation energy is -742 meV/atom.

Cell and atoms, written as Quantum ESPRESSO input:
```
&SYSTEM
  ibrav = 0, nat = 12, ntyp = 4
/
ATOMIC_SPECIES
Sr 87.62 Sr.upf
N 14.01 N.upf
C 12.01 C.upf
Y 88.91 Y.upf
CELL_PARAMETERS angstrom
-1.659 0.966 5.273
-2.655 -3.836 -3.118
4.198 -4.676 2.177
ATOMIC_POSITIONS crystal
Sr 0.000 0.000 0.000
Sr 0.333 0.667 0.680
Sr 0.667 0.333 0.320
N 0.193 0.385 0.282
N 0.807 0.193 0.718
N 0.193 0.807 0.282
N 0.807 0.615 0.718
N 0.615 0.807 0.282
N 0.385 0.193 0.718
C 0.333 0.667 0.274
C 0.667 0.333 0.726
Y 0.000 0.000 0.500
```

---

Entry from the Alexandria database: SrYCN2 after structural relaxation (PBE). Values from VASP.

Its magnetic moment is 2.844 μB per formula unit. As for the density of states at the Fermi level: 3.03 states/eV per cell. The value obtained for the density is 2.20 Mg/m³. Its uncorrected formation energy is 1591 meV/atom.

Cell and atoms, written as Quantum ESPRESSO input:
```
&SYSTEM
  ibrav = 0, nat = 5, ntyp = 4
/
ATOMIC_SPECIES
Sr 87.62 Sr.upf
N 14.01 N.upf
Y 88.91 Y.upf
C 12.01 C.upf
CELL_PARAMETERS angstrom
4.220 0.000 0.000
0.000 9.175 0.000
0.000 0.000 4.220
ATOMIC_POSITIONS crystal
Sr 0.000 0.500 0.000
N 0.500 0.000 0.000
N 0.000 0.000 0.500
Y 0.000 0.000 0.000
C 0.500 0.500 0.500
```

---

Entry from the Alexandria database: Ta3CN after structural relaxation (PBE). Values from VASP.

Its magnetic moment is 0.000 μB per formula unit. As for the density of states at the Fermi level: 5.11 states/eV per cell. The value obtained for the density is 13.34 Mg/m³. Its uncorrected formation energy is 761 meV/atom. The polymorph energy (0 for the lowest one) comes out at 1360 meV per atom.

Cell and atoms, written as Quantum ESPRESSO input:
```
&SYSTEM
  ibrav = 0, nat = 5, ntyp = 3
/
ATOMIC_SPECIES
N 14.01 N.upf
Ta 180.95 Ta.upf
C 12.01 C.upf
CELL_PARAMETERS angstrom
-2.377 -2.862 1.808
2.470 0.045 3.318
-2.316 2.986 1.683
ATOMIC_POSITIONS crystal
N 0.000 0.000 0.000
Ta 0.000 0.500 0.000
Ta 0.500 0.000 0.000
Ta 0.000 0.000 0.500
C 0.500 0.500 0.500
```

---

Entry from the Alexandria database: Ta2C3N6 after structural relaxation (PBE). Values from VASP.

Its magnetic moment is 1.303 μB per formula unit. As for the density of states at the Fermi level: 9.97 states/eV per cell. The value obtained for the density is 6.28 Mg/m³. Its uncorrected formation energy is -86 meV/atom.

Cell and atoms, written as Quantum ESPRESSO input:
```
&SYSTEM
  ibrav = 0, nat = 22, ntyp = 3
/
ATOMIC_SPECIES
N 14.01 N.upf
C 12.01 C.upf
Ta 180.95 Ta.upf
CELL_PARAMETERS angstrom
10.326 -2.685 -0.017
10.326 2.685 -0.017
9.635 0.000 4.581
ATOMIC_POSITIONS crystal
N 0.824 0.447 0.099
N 0.599 0.947 0.324
N 0.176 0.553 0.901
N 0.053 0.676 0.401
N 0.099 0.824 0.447
N 0.401 0.053 0.676
N 0.676 0.401 0.053
N 0.901 0.176 0.553
N 0.324 0.599 0.947
N 0.947 0.324 0.599
N 0.447 0.099 0.824
N 0.553 0.901 0.176
C 0.919 0.250 0.581
C 0.581 0.919 0.250
C 0.419 0.081 0.750
C 0.750 0.419 0.081
C 0.081 0.750 0.419
C 0.250 0.581 0.919
Ta 0.668 0.668 0.668
Ta 0.832 0.832 0.832
Ta 0.332 0.332 0.332
Ta 0.168 0.168 0.168
```

---

Entry from the Alexandria database: Ta3CN after structural relaxation (PBE). Values from VASP.

Its magnetic moment is 0.000 μB per formula unit. As for the density of states at the Fermi level: 3.42 states/eV per cell. The value obtained for the density is 14.57 Mg/m³. Its uncorrected formation energy is -599 meV/atom. The polymorph energy (0 for the lowest one) comes out at 0 meV per atom.

Cell and atoms, written as Quantum ESPRESSO input:
```
&SYSTEM
  ibrav = 0, nat = 10, ntyp = 3
/
ATOMIC_SPECIES
N 14.01 N.upf
Ta 180.95 Ta.upf
C 12.01 C.upf
CELL_PARAMETERS angstrom
-3.459 -2.087 3.736
-1.568 -3.582 -3.453
4.025 -1.011 3.161
ATOMIC_POSITIONS crystal
N 0.500 0.667 0.333
N 0.000 0.667 0.333
Ta 0.250 0.677 0.667
Ta 0.250 0.333 0.010
Ta 0.250 0.990 0.323
Ta 0.750 0.677 0.010
Ta 0.750 0.333 0.323
Ta 0.750 0.990 0.667
C 0.000 0.000 0.000
C 0.500 0.000 0.000
```